[1]
Li2ReGeN after structural relaxation. Source: the Alexandria database, functional GGA-PBE.

Values from the calculation:
* formation energy (no corrections): -0.18 eV per atom
* symmetry: P4/mmm (123)
* volume: 12.3 Å³ per atom
* size of the total moment: 0.54 μB/cell

```
Li2ReGeN
1.0
-1.748 -3.326 1.243
0.981 -1.784 -3.394
3.376 -1.178 1.595
Li Ge Re N
2 1 1 1
Direct
0.500 0.000 0.000
0.000 0.500 0.000
0.500 0.500 0.500
0.000 0.000 0.500
0.000 0.000 0.000
```

***

[2]
MgAgRh2 after structural relaxation. Source: the Alexandria database, functional GGA-PBE.

Values from the calculation:
* E_form: -0.0477 eV/atom
* symmetry: Imm2 (44)
* volume: 15.9 Å³ per atom
* size of the total moment: 0.00 μB/cell

```
MgAgRh2
1.0
5.386 0.009 0.012
2.581 4.727 -0.012
-3.402 -3.345 2.498
Rh Ag Mg
2 1 1
Direct
0.762 0.262 0.500
0.994 0.994 0.000
0.501 0.501 0.000
0.243 0.743 0.500
```